The following is a DFT calculation (PBE) of a relaxed Pm2HoHg crystal.

```
Pm2HoHg
1.0
0.000 3.884 3.884
3.884 0.000 3.884
3.884 3.884 0.000
Pm Ho Hg
2 1 1
Direct
0.250 0.250 0.250
0.750 0.750 0.750
0.000 0.000 0.000
0.500 0.500 0.500
```

Properties
symmetry	No. 225
ΔE_f	-0.074	eV per atom

***

The following is a DFT calculation (PBE) of a relaxed PmHo2Hg crystal.

```
PmHo2Hg
1.0
1.824 1.053 10.525
-1.824 1.053 10.525
0.000 -2.106 10.525
Pm Ho Hg
1 2 1
Direct
0.000 0.000 0.000
0.575 0.575 0.575
0.759 0.759 0.759
0.166 0.166 0.166
```

Properties
symmetry	No. 160
ΔE_f	-0.153	eV per atom

***

The following is a DFT calculation (PBE) of a relaxed PmHo7Hg4 crystal.

```
PmHo7Hg4
1.0
7.294 -2.838 0.000
7.294 2.838 0.000
-5.180 0.000 8.211
Pm Ho Hg
1 7 4
Direct
0.000 0.000 0.000
0.067 0.067 0.406
0.208 0.208 0.883
0.269 0.269 0.317
0.500 0.500 0.000
0.731 0.731 0.683
0.792 0.792 0.117
0.933 0.933 0.594
0.311 0.311 0.662
0.454 0.454 0.274
0.546 0.546 0.726
0.689 0.689 0.338
```

Properties
symmetry	No. 12
ΔE_f	-0.102	eV per atom

***

The following is a DFT calculation (PBE) of a relaxed PmHo2Hg3 crystal.

```
PmHo2Hg3
1.0
3.735 0.000 0.000
0.000 3.735 0.000
0.000 0.000 11.277
Pm Ho Hg
1 2 3
Direct
0.000 0.000 0.000
0.000 0.000 0.337
0.000 0.000 0.663
0.500 0.500 0.178
0.500 0.500 0.500
0.500 0.500 0.822
```

Properties
symmetry	No. 123
ΔE_f	-0.477	eV per atom